Ag3As11: optimized geometry, GGA-PBE.

Computed properties:
- crystal system = monoclinic
- raw total energy (eV/atom) = -4.23
- SG = Cm, No. 8

```
Ag3As11
1.0
7.115 -4.072 0.000
7.115 4.072 0.000
-3.497 0.000 6.126
As Ag
11 3
Cartesian
7.345 1.975 1.593
6.826 0.000 0.226
9.098 -1.252 3.218
11.389 0.000 0.206
5.559 -1.990 3.325
5.559 1.990 3.325
9.098 1.252 3.218
3.763 2.131 1.628
-1.442 0.000 4.636
7.345 -1.975 1.593
3.763 -2.131 1.628
10.522 0.000 5.957
5.608 0.000 5.032
0.723 0.000 6.077
```